Record 1
Compound: Ba4ZnIn
Source: Alexandria via LeMat-Bulk
Functional: PBE
Structure: relaxed

Computed properties:
As for the formation energy from the elements: -0.108 eV per atom. Its magnetization is 0.003 μB per atom. Its energy relative to the lowest polymorph listed for this composition is 112 meV per atom.

abc: 5.907 5.907 8.454
angles: 89.97 89.99 90.00
Element x y z (fractional)
In (0.501, 0.497, 0.998)
Ba (0.001, 0.497, 0.747)
Ba (0.001, 0.497, 0.249)
Zn (0.001, 0.998, 0.498)
Ba (0.501, 0.997, 0.249)
Ba (0.501, 0.997, 0.747)

Record 2
Compound: BaZnIn2
Source: Alexandria via LeMat-Bulk
Functional: PBE
Structure: relaxed

Computed properties:
As for the formation energy from the elements: -0.263 eV per atom. Its magnetization is 0.000 μB per atom.

abc: 4.769 4.769 6.853
angles: 69.60 69.60 60.15
Element x y z (fractional)
In (0.970, 0.970, 0.091)
Ba (0.756, 0.756, 0.732)
Zn (0.552, 0.552, 0.344)
In (0.222, 0.222, 0.333)